[1]
Computed, not measured: a relaxed SrCaLu4 crystal at the GGA-PBE level of DFT.

Results
Mass density (g cm⁻³): 6.3
Total energy (eV/atom): -3.395
Crystal system: cubic
D(E_F) (states/eV per cell): 13.5
V (A^3/atom): 36.1

Cell: 6.7404 6.7404 6.7404 Å, 60.00 60.00 60.00°
Atoms (fractional coordinates):
Sr1 0.0000 0.0000 0.0000
Ca1 0.7500 0.7500 0.7500
Lu1 0.3758 0.3758 0.3758
Lu2 0.3758 0.3758 0.8726
Lu3 0.3758 0.8726 0.3758
Lu4 0.8726 0.3758 0.3758

=====

[2]
Computed, not measured: a relaxed SrCaLu crystal at the GGA-PBE level of DFT.

Results
Mass density (g cm⁻³): 4.2
Total energy (eV/atom): -2.540
Crystal system: trigonal
D(E_F) (states/eV per cell): 4.6
V (A^3/atom): 39.9

Cell: 3.8197 3.8197 9.4777 Å, 90.00 90.00 120.00°
Atoms (fractional coordinates):
Sr1 0.0000 0.0000 0.0000
Ca1 0.3333 0.6667 0.6357
Lu1 0.6667 0.3333 0.3287

=====

[3]
Computed, not measured: a relaxed SrCaLu crystal at the GGA-PBE level of DFT.

Results
Mass density (g cm⁻³): 4.2
Total energy (eV/atom): -2.544
Crystal system: tetragonal
D(E_F) (states/eV per cell): 9.8
V (A^3/atom): 40.3

Cell: 3.8349 3.8349 16.4456 Å, 90.00 90.00 90.00°
Atoms (fractional coordinates):
Sr1 0.0000 0.0000 0.0000
Sr2 0.5000 0.5000 0.5000
Ca1 0.0000 0.0000 0.6882
Ca2 0.5000 0.5000 0.1882
Lu1 0.0000 0.0000 0.3361
Lu2 0.5000 0.5000 0.8361

=====

[4]
Computed, not measured: a relaxed SrCa2Lu crystal at the GGA-PBE level of DFT.

Results
Mass density (g cm⁻³): 3.6
Total energy (eV/atom): -2.363
Crystal system: tetragonal
D(E_F) (states/eV per cell): 6.5
V (A^3/atom): 39.6

Cell: 6.1216 6.1216 4.2298 Å, 90.00 90.00 90.00°
Atoms (fractional coordinates):
Sr1 0.0000 0.0000 0.0000
Ca1 0.0000 0.5000 0.5000
Ca2 0.5000 0.0000 0.5000
Lu1 0.5000 0.5000 0.0000

=====

[5]
Computed, not measured: a relaxed SrCa2Lu crystal at the GGA-PBE level of DFT.

Results
Mass density (g cm⁻³): 3.5
Total energy (eV/atom): -2.423
Crystal system: tetragonal
D(E_F) (states/eV per cell): 6.2
V (A^3/atom): 40.5

Cell: 3.9655 3.9655 10.3116 Å, 90.00 90.00 90.00°
Atoms (fractional coordinates):
Sr1 0.0000 0.0000 0.0000
Ca1 0.5000 0.5000 0.2839
Ca2 0.5000 0.5000 0.7161
Lu1 0.0000 0.0000 0.5000

=====

[6]
Computed, not measured: a relaxed SrCa2Lu crystal at the GGA-PBE level of DFT.

Results
Mass density (g cm⁻³): 3.6
Total energy (eV/atom): -2.363
Crystal system: cubic
D(E_F) (states/eV per cell): 27.2
V (A^3/atom): 39.7

Cell: 8.5951 8.5951 8.5951 Å, 90.00 90.00 90.00°
Atoms (fractional coordinates):
Sr1 0.0000 0.0000 0.0000
Sr2 0.0000 0.5000 0.5000
Sr3 0.5000 0.0000 0.5000
Sr4 0.5000 0.5000 0.0000
Ca1 0.2500 0.2500 0.2500
Ca2 0.2500 0.2500 0.7500
Ca3 0.2500 0.7500 0.2500
Ca4 0.2500 0.7500 0.7500
Ca5 0.7500 0.2500 0.2500
Ca6 0.7500 0.2500 0.7500
Ca7 0.7500 0.7500 0.2500
Ca8 0.7500 0.7500 0.7500
Lu1 0.0000 0.0000 0.5000
Lu2 0.0000 0.5000 0.0000
Lu3 0.5000 0.0000 0.0000
Lu4 0.5000 0.5000 0.5000

=====

[7]
Computed, not measured: a relaxed SrCa2Lu crystal at the GGA-PBE level of DFT.

Results
Mass density (g cm⁻³): 3.5
Total energy (eV/atom): -2.238
Crystal system: trigonal
D(E_F) (states/eV per cell): 15.2
V (A^3/atom): 40.8

Cell: 3.7389 3.7389 40.4875 Å, 90.00 90.00 120.00°
Atoms (fractional coordinates):
Sr1 0.0000 0.0000 0.0000
Sr2 0.3333 0.6667 0.6667
Sr3 0.6667 0.3333 0.3333
Ca1 0.0000 0.0000 0.4166
Ca2 0.0000 0.0000 0.5834
Ca3 0.3333 0.6667 0.0833
Ca4 0.3333 0.6667 0.2501
Ca5 0.6667 0.3333 0.7499
Ca6 0.6667 0.3333 0.9167
Lu1 0.0000 0.0000 0.5000
Lu2 0.3333 0.6667 0.1667
Lu3 0.6667 0.3333 0.8333

=====

[8]
Computed, not measured: a relaxed CaTb4Lu crystal at the GGA-PBE level of DFT.

Results
Mass density (g cm⁻³): 6.9
Total energy (eV/atom): -3.952
Crystal system: cubic
D(E_F) (states/eV per cell): 9.1
V (A^3/atom): 34.3

Cell: 6.6263 6.6263 6.6263 Å, 60.00 60.00 60.00°
Atoms (fractional coordinates):
Ca1 0.0000 0.0000 0.0000
Tb1 0.3767 0.3767 0.3767
Tb2 0.3767 0.3767 0.8699
Tb3 0.3767 0.8699 0.3767
Tb4 0.8699 0.3767 0.3767
Lu1 0.7500 0.7500 0.7500

=====

[9]
Computed, not measured: a relaxed CaTb2Lu crystal at the GGA-PBE level of DFT.

Results
Mass density (g cm⁻³): 6.5
Total energy (eV/atom): -3.849
Crystal system: tetragonal
D(E_F) (states/eV per cell): 4.9
V (A^3/atom): 34.1

Cell: 3.9556 3.9556 8.7270 Å, 90.00 90.00 90.00°
Atoms (fractional coordinates):
Ca1 0.0000 0.0000 0.0000
Tb1 0.5000 0.5000 0.2862
Tb2 0.5000 0.5000 0.7138
Lu1 0.0000 0.0000 0.5000

=====

[10]
Computed, not measured: a relaxed CaTb2Lu crystal at the GGA-PBE level of DFT.

Results
Mass density (g cm⁻³): 6.6
Total energy (eV/atom): -3.786
Crystal system: trigonal
D(E_F) (states/eV per cell): 14.8
V (A^3/atom): 33.7

Cell: 3.5271 3.5271 37.5831 Å, 90.00 90.00 120.00°
Atoms (fractional coordinates):
Ca1 0.0000 0.0000 0.0000
Ca2 0.3333 0.6667 0.6667
Ca3 0.6667 0.3333 0.3333
Tb1 0.0000 0.0000 0.0924
Tb2 0.0000 0.0000 0.9076
Tb3 0.3333 0.6667 0.5742
Tb4 0.3333 0.6667 0.7591
Tb5 0.6667 0.3333 0.2409
Tb6 0.6667 0.3333 0.4258
Lu1 0.0000 0.0000 0.5000
Lu2 0.3333 0.6667 0.1667
Lu3 0.6667 0.3333 0.8333

=====

[11]
Computed, not measured: a relaxed CaTb2Lu crystal at the GGA-PBE level of DFT.

Results
Mass density (g cm⁻³): 6.8
Total energy (eV/atom): -3.804
Crystal system: tetragonal
D(E_F) (states/eV per cell): 6.8
V (A^3/atom): 32.7

Cell: 5.1110 5.1110 5.0084 Å, 90.00 90.00 90.00°
Atoms (fractional coordinates):
Ca1 0.0000 0.0000 0.0000
Tb1 0.0000 0.5000 0.5000
Tb2 0.5000 0.0000 0.5000
Lu1 0.5000 0.5000 0.0000

=====

[12]
Computed, not measured: a relaxed CaTbLuTl crystal at the GGA-PBE level of DFT.

Results
Mass density (g cm⁻³): 8.0
Total energy (eV/atom): -3.390
Crystal system: cubic
D(E_F) (states/eV per cell): 18.4
V (A^3/atom): 29.9

Cell: 7.8198 7.8198 7.8198 Å, 90.00 90.00 90.00°
Atoms (fractional coordinates):
Ca1 0.0000 0.0000 0.0000
Ca2 0.0000 0.5000 0.5000
Ca3 0.5000 0.0000 0.5000
Ca4 0.5000 0.5000 0.0000
Tb1 0.0000 0.0000 0.5000
Tb2 0.0000 0.5000 0.0000
Tb3 0.5000 0.0000 0.0000
Tb4 0.5000 0.5000 0.5000
Lu1 0.2500 0.2500 0.2500
Lu2 0.2500 0.7500 0.7500
Lu3 0.7500 0.2500 0.7500
Lu4 0.7500 0.7500 0.2500
Tl1 0.2500 0.2500 0.7500
Tl2 0.2500 0.7500 0.2500
Tl3 0.7500 0.2500 0.2500
Tl4 0.7500 0.7500 0.7500

=====

[13]
Computed, not measured: a relaxed CaTbTmLu crystal at the GGA-PBE level of DFT.

Results
Mass density (g cm⁻³): 6.9
Total energy (eV/atom): -3.734
Crystal system: cubic
D(E_F) (states/eV per cell): 28.0
V (A^3/atom): 32.5

Cell: 8.0402 8.0402 8.0402 Å, 90.00 90.00 90.00°
Atoms (fractional coordinates):
Ca1 0.0000 0.0000 0.0000
Ca2 0.0000 0.5000 0.5000
Ca3 0.5000 0.0000 0.5000
Ca4 0.5000 0.5000 0.0000
Tb1 0.2500 0.2500 0.7500
Tb2 0.2500 0.7500 0.2500
Tb3 0.7500 0.2500 0.2500
Tb4 0.7500 0.7500 0.7500
Tm1 0.2500 0.2500 0.2500
Tm2 0.2500 0.7500 0.7500
Tm3 0.7500 0.2500 0.7500
Tm4 0.7500 0.7500 0.2500
Lu1 0.0000 0.0000 0.5000
Lu2 0.0000 0.5000 0.0000
Lu3 0.5000 0.0000 0.0000
Lu4 0.5000 0.5000 0.5000

=====

[14]
Computed, not measured: a relaxed CaTbYLu crystal at the GGA-PBE level of DFT.

Results
Mass density (g cm⁻³): 5.8
Total energy (eV/atom): -4.248
Crystal system: cubic
D(E_F) (states/eV per cell): 28.6
V (A^3/atom): 33.1

Cell: 8.0900 8.0900 8.0900 Å, 90.00 90.00 90.00°
Atoms (fractional coordinates):
Ca1 0.0000 0.0000 0.0000
Ca2 0.0000 0.5000 0.5000
Ca3 0.5000 0.0000 0.5000
Ca4 0.5000 0.5000 0.0000
Tb1 0.2500 0.2500 0.2500
Tb2 0.2500 0.7500 0.7500
Tb3 0.7500 0.2500 0.7500
Tb4 0.7500 0.7500 0.2500
Y1 0.2500 0.2500 0.7500
Y2 0.2500 0.7500 0.2500
Y3 0.7500 0.2500 0.2500
Y4 0.7500 0.7500 0.7500
Lu1 0.0000 0.0000 0.5000
Lu2 0.0000 0.5000 0.0000
Lu3 0.5000 0.0000 0.0000
Lu4 0.5000 0.5000 0.5000

=====

[15]
Computed, not measured: a relaxed CaLu3Tc crystal at the GGA-PBE level of DFT.

Results
Mass density (g cm⁻³): 7.2
Total energy (eV/atom): -5.152
Crystal system: cubic
D(E_F) (states/eV per cell): 4.5
V (A^3/atom): 30.6

Cell: 5.3481 5.3481 5.3481 Å, 90.00 90.00 90.00°
Atoms (fractional coordinates):
Ca1 0.0000 0.0000 0.0000
Lu1 0.0000 0.5000 0.5000
Lu2 0.5000 0.0000 0.5000
Lu3 0.5000 0.5000 0.0000
Tc1 0.5000 0.5000 0.5000

=====

[16]
Computed, not measured: a relaxed CaLu2Te4 crystal at the GGA-PBE level of DFT.

Results
Mass density (g cm⁻³): 6.3
Total energy (eV/atom): -4.796
Energy relative to the elements, uncorrected (eV/atom): -1.423
Crystal system: monoclinic
V (A^3/atom): 34.0

Cell: 7.4256 4.3453 7.7301 Å, 90.00 107.59 90.00°
Atoms (fractional coordinates):
Ca1 0.0000 0.0000 0.0000
Lu1 0.0000 0.5000 0.5000
Lu2 0.5000 0.0000 0.5000
Te1 0.2443 0.0000 0.7333
Te2 0.2625 0.5000 0.2596
Te3 0.7375 0.5000 0.7404
Te4 0.7557 0.0000 0.2667

=====

[17]
Computed, not measured: a relaxed CaLuTh2 crystal at the GGA-PBE level of DFT.

Results
Mass density (g cm⁻³): 8.4
Total energy (eV/atom): -5.108
Crystal system: trigonal
D(E_F) (states/eV per cell): 19.0
V (A^3/atom): 33.6

Cell: 3.4817 3.4817 38.3766 Å, 90.00 90.00 120.00°
Atoms (fractional coordinates):
Ca1 0.0000 0.0000 0.0000
Ca2 0.3333 0.6667 0.6667
Ca3 0.6667 0.3333 0.3333
Lu1 0.0000 0.0000 0.5000
Lu2 0.3333 0.6667 0.1667
Lu3 0.6667 0.3333 0.8333
Th1 0.0000 0.0000 0.0901
Th2 0.0000 0.0000 0.9099
Th3 0.3333 0.6667 0.5766
Th4 0.3333 0.6667 0.7568
Th5 0.6667 0.3333 0.2432
Th6 0.6667 0.3333 0.4234

=====

[18]
Computed, not measured: a relaxed CaLuTh2 crystal at the GGA-PBE level of DFT.

Results
Mass density (g cm⁻³): 8.7
Total energy (eV/atom): -5.154
Crystal system: tetragonal
D(E_F) (states/eV per cell): 4.9
V (A^3/atom): 32.6

Cell: 5.0322 5.0322 5.1421 Å, 90.00 90.00 90.00°
Atoms (fractional coordinates):
Ca1 0.0000 0.0000 0.0000
Lu1 0.5000 0.5000 0.0000
Th1 0.0000 0.5000 0.5000
Th2 0.5000 0.0000 0.5000

=====

[19]
Computed, not measured: a relaxed CaLu2Ti crystal at the GGA-PBE level of DFT.

Results
Mass density (g cm⁻³): 6.4
Total energy (eV/atom): -4.427
Crystal system: trigonal
D(E_F) (states/eV per cell): 19.3
V (A^3/atom): 28.2

Cell: 3.3655 3.3655 34.5458 Å, 90.00 90.00 120.00°
Atoms (fractional coordinates):
Ca1 0.0000 0.0000 0.0000
Ca2 0.3333 0.6667 0.6667
Ca3 0.6667 0.3333 0.3333
Lu1 0.0000 0.0000 0.0968
Lu2 0.0000 0.0000 0.9032
Lu3 0.3333 0.6667 0.5699
Lu4 0.3333 0.6667 0.7635
Lu5 0.6667 0.3333 0.2365
Lu6 0.6667 0.3333 0.4301
Ti1 0.0000 0.0000 0.5000
Ti2 0.3333 0.6667 0.1667
Ti3 0.6667 0.3333 0.8333

=====

[20]
Computed, not measured: a relaxed CaLu2Ti crystal at the GGA-PBE level of DFT.

Results
Mass density (g cm⁻³): 6.3
Total energy (eV/atom): -4.573
Crystal system: tetragonal
D(E_F) (states/eV per cell): 6.1
V (A^3/atom): 29.1

Cell: 3.6172 3.6172 8.8842 Å, 90.00 90.00 90.00°
Atoms (fractional coordinates):
Ca1 0.0000 0.0000 0.0000
Lu1 0.5000 0.5000 0.3067
Lu2 0.5000 0.5000 0.6933
Ti1 0.0000 0.0000 0.5000